Entry from Alexandria via LeMat-Bulk: a geometry-optimized Li3InRh structure (GGA-PBE).

Results
energy of formation: 173 meV/atom
crystal system: cubic

a b c (Å): 4.6219 4.6219 4.6219
angles (deg): 90.00 90.00 90.00
Sites, in units of the cell vectors:
Li 0.0000 0.0000 0.5000
Li 0.0000 0.5000 0.0000
Li 0.5000 0.0000 0.0000
In 0.5000 0.5000 0.5000
Rh 0.0000 0.0000 0.0000

=====

Entry from Alexandria via LeMat-Bulk: a geometry-optimized Li4In2Rh structure (GGA-PBE).

Results
energy of formation: -92 meV/atom
crystal system: orthorhombic

a b c (Å): 5.3946 5.3946 9.2739
angles (deg): 90.00 90.00 57.72
Sites, in units of the cell vectors:
Li 0.0046 0.4954 0.7500
Li 0.2409 0.7591 0.7509
Li 0.2591 0.7409 0.2509
Li 0.4954 0.0046 0.2500
Li 0.5046 0.9954 0.7500
Li 0.7409 0.2591 0.7491
Li 0.7591 0.2409 0.2491
Li 0.9954 0.5046 0.2500
In 0.1592 0.1592 0.0000
In 0.3408 0.3408 0.5000
In 0.6592 0.6592 0.5000
In 0.8408 0.8408 0.0000
Rh 0.0000 0.0000 0.5000
Rh 0.5000 0.5000 0.0000

=====

Entry from Alexandria via LeMat-Bulk: a geometry-optimized Li3InRh structure (GGA-PBE).

Results
energy of formation: -244 meV/atom
crystal system: monoclinic

a b c (Å): 5.6196 8.5621 8.0837
angles (deg): 90.00 126.03 90.00
Sites, in units of the cell vectors:
Li 0.0323 0.1260 0.2618
Li 0.0323 0.3740 0.7618
Li 0.2140 0.6480 0.6461
Li 0.2140 0.8520 0.1461
Li 0.3702 0.6199 0.0330
Li 0.3702 0.8801 0.5330
Li 0.6298 0.1199 0.4670
Li 0.6298 0.3801 0.9670
Li 0.7860 0.1480 0.8539
Li 0.7860 0.3520 0.3539
Li 0.9677 0.6260 0.2382
Li 0.9677 0.8740 0.7382
In 0.3828 0.1323 0.0557
In 0.3828 0.3677 0.5557
In 0.6172 0.6323 0.4443
In 0.6172 0.8677 0.9443
Rh 0.2138 0.1071 0.6604
Rh 0.2138 0.3929 0.1604
Rh 0.7862 0.6071 0.8396
Rh 0.7862 0.8929 0.3396

=====

Entry from Alexandria via LeMat-Bulk: a geometry-optimized LiInRh2 structure (GGA-PBE).

Results
energy of formation: -197 meV/atom
crystal system: orthorhombic

a b c (Å): 3.0526 4.3566 4.6248
angles (deg): 90.00 90.00 90.00
Sites, in units of the cell vectors:
Li 0.0000 0.0000 0.0000
In 0.5000 0.0000 0.5000
Rh 0.0000 0.5000 0.5000
Rh 0.5000 0.5000 0.0000

=====

Entry from Alexandria via LeMat-Bulk: a geometry-optimized Li8InRh2 structure (GGA-PBE).

Results
energy of formation: 13 meV/atom
crystal system: monoclinic

a b c (Å): 6.8351 6.8351 4.5880
angles (deg): 95.65 95.65 89.04
Sites, in units of the cell vectors:
Li 0.0863 0.0863 0.3059
Li 0.1043 0.5987 0.3113
Li 0.2299 0.2299 0.9070
Li 0.4013 0.8957 0.6887
Li 0.5987 0.1043 0.3113
Li 0.7701 0.7701 0.0930
Li 0.8957 0.4013 0.6887
Li 0.9137 0.9137 0.6941
In 0.5000 0.5000 0.0000
Rh 0.3547 0.3547 0.4613
Rh 0.6453 0.6453 0.5387

=====

Entry from Alexandria via LeMat-Bulk: a geometry-optimized LiInRh2 structure (GGA-PBE).

Results
energy of formation: -208 meV/atom
crystal system: orthorhombic

a b c (Å): 5.2338 5.2338 5.2338
angles (deg): 145.21 130.54 61.88
Sites, in units of the cell vectors:
Li 0.0000 0.0000 0.0000
In 0.7415 0.2415 0.5000
Rh 0.2398 0.7398 0.5000
Rh 0.4832 0.4832 0.0000

=====

Entry from Alexandria via LeMat-Bulk: a geometry-optimized Li3InRh structure (GGA-PBE).

Results
energy of formation: -180 meV/atom
crystal system: triclinic

a b c (Å): 2.9845 4.3320 7.1827
angles (deg): 72.52 78.38 89.99
Sites, in units of the cell vectors:
Li 0.0000 0.0000 0.0000
Li 0.1472 0.6463 0.7099
Li 0.4400 0.4389 0.1216
In 0.7652 0.2600 0.4823
Rh 0.3378 0.8318 0.3383

=====

Entry from Alexandria via LeMat-Bulk: a geometry-optimized LiIn5Rh4 structure (GGA-PBE).

Results
energy of formation: -393 meV/atom
crystal system: tetragonal

a b c (Å): 3.2739 3.2739 15.9295
angles (deg): 90.00 90.00 90.00
Sites, in units of the cell vectors:
Li 0.0000 0.0000 0.0000
In 0.5000 0.5000 0.0996
In 0.5000 0.5000 0.2989
In 0.5000 0.5000 0.5000
In 0.5000 0.5000 0.7011
In 0.5000 0.5000 0.9004
Rh 0.0000 0.0000 0.1987
Rh 0.0000 0.0000 0.4002
Rh 0.0000 0.0000 0.5998
Rh 0.0000 0.0000 0.8013

=====

Entry from Alexandria via LeMat-Bulk: a geometry-optimized Li3InRh2 structure (GGA-PBE).

Results
energy of formation: -244 meV/atom
crystal system: monoclinic

a b c (Å): 5.0631 5.0631 7.0358
angles (deg): 97.84 97.84 96.21
Sites, in units of the cell vectors:
Li 0.0554 0.9446 0.7500
Li 0.1372 0.3202 0.0034
Li 0.3202 0.1372 0.5034
Li 0.6798 0.8628 0.4966
Li 0.8628 0.6798 0.9966
Li 0.9446 0.0554 0.2500
In 0.4051 0.5949 0.7500
In 0.5949 0.4051 0.2500
Rh 0.1379 0.6069 0.3715
Rh 0.3931 0.8621 0.1285
Rh 0.6069 0.1379 0.8715
Rh 0.8621 0.3931 0.6285

=====

Entry from Alexandria via LeMat-Bulk: a geometry-optimized Li4In5Rh structure (GGA-PBE).

Results
energy of formation: -295 meV/atom
crystal system: tetragonal

a b c (Å): 3.4270 3.4270 15.9661
angles (deg): 90.00 90.00 90.00
Sites, in units of the cell vectors:
Li 0.0000 0.0000 0.1015
Li 0.0000 0.0000 0.3079
Li 0.0000 0.0000 0.6921
Li 0.0000 0.0000 0.8985
In 0.5000 0.5000 0.0000
In 0.5000 0.5000 0.2048
In 0.5000 0.5000 0.4062
In 0.5000 0.5000 0.5938
In 0.5000 0.5000 0.7952
Rh 0.0000 0.0000 0.5000

=====

Entry from Alexandria via LeMat-Bulk: a geometry-optimized Li12In6Rh structure (GGA-PBE).

Results
energy of formation: -265 meV/atom
crystal system: trigonal

a b c (Å): 7.1374 7.1374 7.1374
angles (deg): 90.10 90.10 90.10
Sites, in units of the cell vectors:
Li 0.0234 0.9393 0.3036
Li 0.0607 0.6964 0.9766
Li 0.1348 0.4580 0.3558
Li 0.3036 0.0234 0.9393
Li 0.3558 0.1348 0.4580
Li 0.4580 0.3558 0.1348
Li 0.5420 0.6442 0.8652
Li 0.6442 0.8652 0.5420
Li 0.6964 0.9766 0.0607
Li 0.8652 0.5420 0.6442
Li 0.9393 0.3036 0.0234
Li 0.9766 0.0607 0.6964
In 0.2274 0.3797 0.7634
In 0.2366 0.7726 0.6203
In 0.3797 0.7634 0.2274
In 0.6203 0.2366 0.7726
In 0.7634 0.2274 0.3797
In 0.7726 0.6203 0.2366
Rh 0.5000 0.5000 0.5000

=====

Entry from Alexandria via LeMat-Bulk: a geometry-optimized LiIn4Rh3 structure (GGA-PBE).

Results
energy of formation: -404 meV/atom
crystal system: tetragonal

a b c (Å): 7.4423 7.4423 7.4423
angles (deg): 144.68 144.68 50.82
Sites, in units of the cell vectors:
Li 0.0000 0.0000 0.0000
In 0.1262 0.6262 0.5000
In 0.3738 0.8738 0.5000
In 0.6262 0.1262 0.5000
In 0.8738 0.3738 0.5000
Rh 0.2513 0.2513 0.0000
Rh 0.5000 0.5000 0.0000
Rh 0.7487 0.7487 0.0000

=====

Entry from Alexandria via LeMat-Bulk: a geometry-optimized Li6InRh2 structure (GGA-PBE).

Results
energy of formation: -196 meV/atom
crystal system: monoclinic

a b c (Å): 5.1538 5.1538 5.1471
angles (deg): 96.29 96.29 96.12
Sites, in units of the cell vectors:
Li 0.1748 0.4997 0.3251
Li 0.1754 0.8246 0.0000
Li 0.4997 0.1748 0.3251
Li 0.5003 0.8252 0.6749
Li 0.8246 0.1754 0.0000
Li 0.8252 0.5003 0.6749
In 0.0000 0.0000 0.5000
Rh 0.3363 0.3363 0.8360
Rh 0.6637 0.6637 0.1640

=====

Entry from Alexandria via LeMat-Bulk: a geometry-optimized Li4In3Rh2 structure (GGA-PBE).

Results
energy of formation: -289 meV/atom
crystal system: monoclinic

a b c (Å): 8.1168 8.1168 4.8726
angles (deg): 96.80 96.80 72.90
Sites, in units of the cell vectors:
Li 0.0615 0.8068 0.9584
Li 0.1932 0.9385 0.5416
Li 0.2581 0.5072 0.6997
Li 0.4928 0.7419 0.8003
Li 0.5072 0.2581 0.1997
Li 0.7419 0.4928 0.3003
Li 0.8068 0.0615 0.4584
Li 0.9385 0.1932 0.0416
In 0.0497 0.3024 0.6004
In 0.3024 0.0497 0.1004
In 0.3789 0.6211 0.2500
In 0.6211 0.3789 0.7500
In 0.6976 0.9503 0.8996
In 0.9503 0.6976 0.3996
Rh 0.1636 0.4055 0.1452
Rh 0.4055 0.1636 0.6452
Rh 0.5945 0.8364 0.3548
Rh 0.8364 0.5945 0.8548

=====

Entry from Alexandria via LeMat-Bulk: a geometry-optimized LiInRh2 structure (GGA-PBE).

Results
energy of formation: -125 meV/atom
crystal system: tetragonal

a b c (Å): 3.1627 3.1627 6.0551
angles (deg): 90.00 90.00 90.00
Sites, in units of the cell vectors:
Li 0.0000 0.0000 0.0000
In 0.5000 0.5000 0.7314
Rh 0.0000 0.0000 0.4632
Rh 0.5000 0.5000 0.1995

=====

Entry from Alexandria via LeMat-Bulk: a geometry-optimized Li6InRh2 structure (GGA-PBE).

Results
energy of formation: -85 meV/atom
crystal system: trigonal

a b c (Å): 9.4607 9.4607 9.4607
angles (deg): 26.82 26.82 26.82
Sites, in units of the cell vectors:
Li 0.0723 0.0723 0.0723
Li 0.2172 0.2172 0.2172
Li 0.3096 0.3096 0.3096
Li 0.6904 0.6904 0.6904
Li 0.7828 0.7828 0.7828
Li 0.9277 0.9277 0.9277
In 0.5000 0.5000 0.5000
Rh 0.4054 0.4054 0.4054
Rh 0.5946 0.5946 0.5946

=====

Entry from Alexandria via LeMat-Bulk: a geometry-optimized LiInRh2 structure (GGA-PBE).

Results
energy of formation: -224 meV/atom
crystal system: cubic

a b c (Å): 4.4321 4.4321 4.4321
angles (deg): 60.00 60.00 60.00
Sites, in units of the cell vectors:
Li 0.0000 0.0000 0.0000
In 0.2500 0.2500 0.2500
Rh 0.5000 0.5000 0.5000
Rh 0.7500 0.7500 0.7500

=====

Entry from Alexandria via LeMat-Bulk: a geometry-optimized LiIn5Rh structure (GGA-PBE).

Results
energy of formation: -226 meV/atom
crystal system: tetragonal

a b c (Å): 4.6108 4.6108 7.3885
angles (deg): 90.00 90.00 90.00
Sites, in units of the cell vectors:
Li 0.0000 0.0000 0.0000
In 0.0000 0.5000 0.2920
In 0.0000 0.5000 0.7080
In 0.5000 0.0000 0.2920
In 0.5000 0.0000 0.7080
In 0.5000 0.5000 0.0000
Rh 0.0000 0.0000 0.5000

=====

Entry from Alexandria via LeMat-Bulk: a geometry-optimized Li3In2Rh3 structure (GGA-PBE).

Results
energy of formation: -353 meV/atom
crystal system: trigonal

a b c (Å): 7.6513 7.6513 7.6513
angles (deg): 33.69 33.69 33.69
Sites, in units of the cell vectors:
Li 0.0000 0.0000 0.0000
Li 0.1270 0.1270 0.1270
Li 0.5049 0.5049 0.5049
In 0.2527 0.2527 0.2527
In 0.7515 0.7515 0.7515
Rh 0.3786 0.3786 0.3786
Rh 0.6276 0.6276 0.6276
Rh 0.8761 0.8761 0.8761

=====

Entry from Alexandria via LeMat-Bulk: a geometry-optimized LiInRh2 structure (GGA-PBE).

Results
energy of formation: -234 meV/atom
crystal system: monoclinic

a b c (Å): 4.6353 4.6353 4.8695
angles (deg): 102.28 102.28 36.82
Sites, in units of the cell vectors:
Li 0.0000 0.0000 0.0000
In 0.5000 0.5000 0.5000
Rh 0.2528 0.2528 0.7688
Rh 0.7472 0.7472 0.2312